Record 1
Computed, not measured: ScNi2Sb after structural relaxation at the PBE level of DFT.

Summary:
Raw formation energy in eV/atom: -0.43
Total energy in eV per atom: -5.936
Space-group type: P4/mmm, No. 123
Total magnetic moment in Bohr magnetons per cell: 0.0
Density of states at the Fermi level in states/eV per cell: 2.908

Cell: 4.141 4.141 3.688 Å, 90.00 90.00 90.00°
Sites, in units of the cell vectors:
Sb (0.500, 0.000, 0.500)
Ni (0.500, 0.500, 0.000)
Sc (0.000, 0.500, 0.500)
Ni (0.000, 0.000, 0.000)

Record 2
Computed, not measured: Sc3Ni8Sb after structural relaxation at the PBE level of DFT.

Summary:
Raw formation energy in eV/atom: -0.45
Total energy in eV per atom: -6.234
Space-group type: R3m, No. 160
Total magnetic moment in Bohr magnetons per cell: 0.0
Density of states at the Fermi level in states/eV per cell: 10.989

Cell: 4.891 4.891 8.495 Å, 73.27 73.27 60.00°
Sites, in units of the cell vectors:
Ni (0.439, 0.439, 0.181)
Ni (0.434, 0.937, 0.691)
Ni (0.940, 0.439, 0.181)
Sc (0.997, 0.997, 0.009)
Sb (0.872, 0.872, 0.383)
Sc (0.375, 0.375, 0.875)
Sc (0.502, 0.502, 0.495)
Ni (0.188, 0.188, 0.437)
Ni (0.937, 0.434, 0.691)
Ni (0.688, 0.688, 0.935)
Ni (0.937, 0.937, 0.691)
Ni (0.439, 0.940, 0.181)

Record 3
Computed, not measured: ScNiSb2 after structural relaxation at the PBE level of DFT.

Summary:
Raw formation energy in eV/atom: -0.37
Total energy in eV per atom: -5.458
Space-group type: Cm, No. 8
Total magnetic moment in Bohr magnetons per cell: 0.0
Density of states at the Fermi level in states/eV per cell: 2.484

Cell: 5.689 5.689 3.989 Å, 89.86 89.86 40.26°
Sites, in units of the cell vectors:
Ni (0.275, 0.275, 0.125)
Sb (0.738, 0.738, 0.625)
Sb (0.030, 0.030, 0.124)
Sc (0.457, 0.457, 0.625)

Record 4
Computed, not measured: Sc8Ni2Sb after structural relaxation at the PBE level of DFT.

Summary:
Raw formation energy in eV/atom: -0.30
Total energy in eV per atom: -6.334
Space-group type: C2/m, No. 12
Total magnetic moment in Bohr magnetons per cell: 0.3
Density of states at the Fermi level in states/eV per cell: 17.880

Cell: 4.870 7.460 7.460 Å, 114.10 97.82 97.82°
Sites, in units of the cell vectors:
Sc (0.500, 0.752, 0.248)
Sc (0.299, 0.602, 0.602)
Sc (0.919, 0.666, 0.921)
Sc (0.919, 0.921, 0.666)
Sc (0.500, 0.248, 0.752)
Ni (0.000, 0.306, 0.694)
Sc (0.081, 0.334, 0.079)
Sb (0.500, 0.000, 0.000)
Sc (0.081, 0.079, 0.334)
Ni (0.000, 0.694, 0.306)
Sc (0.701, 0.398, 0.398)

- Among the records above, which one has the lowest density of states at the Fermi level?
  ScNiSb2

- Number 3 is which compound?
  ScNiSb2

- Number 3 is which compound?
  ScNiSb2